(1)
Entry from Alexandria: a geometry-optimized Ho3FeIr8 structure (GGA-PBE).

Energy of formation in kcal/mol of atoms: -12.01
DFT total energy in eV/atom: -8.278
Magnetic moment in μB per formula unit: 3.92

```
data_Ho3FeIr8
_chemical_formula_sum 'Ho9 Fe3 Ir24'
_symmetry_space_group_name_H-M 'R 3 m'
_symmetry_Int_Tables_number 160
_symmetry_space_group_name_Hall 'R 3 -2"'
_cell_length_a 5.3060
_cell_length_b 5.3060
_cell_length_c 25.9687
_cell_angle_alpha 90.00
_cell_angle_beta 90.00
_cell_angle_gamma 120.00
loop_
_atom_site_label
_atom_site_type_symbol
_atom_site_fract_x
_atom_site_fract_y
_atom_site_fract_z
_atom_site_occupancy
Ho1 Ho 0.0000 0.0000 0.0000 1
Ho2 Ho 0.0000 0.0000 0.1285 1
Ho3 Ho 0.0000 0.0000 0.6167 1
Fe1 Fe 0.0000 0.0000 0.4877 1
Ir1 Ir 0.0000 0.0000 0.3125 1
Ir2 Ir 0.0000 0.0000 0.8130 1
Ir3 Ir 0.0007 0.5004 0.0635 1
Ir4 Ir 0.1671 0.3343 0.8948 1
```

(2)
Entry from Alexandria: a geometry-optimized TiNbVNi structure (GGA-PBE).

Energy of formation in kcal/mol of atoms: -1.46
DFT total energy in eV/atom: -8.279
Magnetic moment in μB per formula unit: 0.23

```
data_TiNbVNi
_chemical_formula_sum 'Ti4 Nb4 V4 Ni4'
_symmetry_space_group_name_H-M 'F -4 3 m'
_symmetry_Int_Tables_number 216
_symmetry_space_group_name_Hall 'F -4 2 3'
_cell_length_a 6.173
_cell_length_b 6.173
_cell_length_c 6.173
_cell_angle_alpha 90.00
_cell_angle_beta 90.00
_cell_angle_gamma 90.00
loop_
_atom_site_label
_atom_site_type_symbol
_atom_site_fract_x
_atom_site_fract_y
_atom_site_fract_z
_atom_site_occupancy
Ti1 Ti 0.000 0.000 0.000 1
Nb1 Nb 0.000 0.000 0.500 1
V1 V 0.250 0.250 0.250 1
Ni1 Ni 0.250 0.250 0.750 1
```

(3)
Entry from Alexandria: a geometry-optimized Li2ScZn structure (GGA-PBE).

Energy of formation in kcal/mol of atoms: -0.43
DFT total energy in eV/atom: -2.877
Magnetic moment in μB per formula unit: 0.00

```
data_Li2ScZn
_chemical_formula_sum 'Li2 Sc1 Zn1'
_symmetry_space_group_name_H-M 'P 1 m 1'
_symmetry_Int_Tables_number 6
_cell_length_a 3.014
_cell_length_b 4.502
_cell_length_c 5.803
_cell_angle_alpha 90.00
_cell_angle_beta 103.19
_cell_angle_gamma 90.00
loop_
_symmetry_equiv_pos_as_xyz
'x,y,z'
'x,-y,z'
loop_
_atom_site_label
_atom_site_type_symbol
_atom_site_fract_x
_atom_site_fract_y
_atom_site_fract_z
_atom_site_occupancy
Li1 Li 0.000 0.000 0.000 1
Li2 Li 0.395 0.500 0.813 1
Sc1 Sc 0.701 0.500 0.352 1
Zn1 Zn 0.281 0.000 0.529 1
```

(4)
Entry from Alexandria: a geometry-optimized TmBiAu2 structure (GGA-PBE).

Energy of formation in kcal/mol of atoms: -10.38
DFT total energy in eV/atom: -4.177
Magnetic moment in μB per formula unit: 0.00

```
data_TmBiAu2
_chemical_formula_sum 'Tm3 Bi3 Au6'
_symmetry_space_group_name_H-M 'R -3 m'
_symmetry_Int_Tables_number 166
_symmetry_space_group_name_Hall '-R 3 2"'
_cell_length_a 3.9146
_cell_length_b 3.9146
_cell_length_c 23.3974
_cell_angle_alpha 90.00
_cell_angle_beta 90.00
_cell_angle_gamma 120.00
loop_
_atom_site_label
_atom_site_type_symbol
_atom_site_fract_x
_atom_site_fract_y
_atom_site_fract_z
_atom_site_occupancy
Tm1 Tm 0.0000 0.0000 0.0000 1
Bi1 Bi 0.0000 0.0000 0.5000 1
Au1 Au 0.0000 0.0000 0.2554 1
```